{"formula": "CdTe2C", "functional": "GGA-PBE", "state": "relaxed", "lattice": [[5.8945, 6.2320, 4.9054], [8.1978, 4.3268, 3.4235], [6.8493, 6.8971, 1.7785]], "species": ["Te", "C", "Cd", "Te"], "fractional_positions": [[0.8869, 0.8869, 0.8869], [0.5000, 0.5000, 0.5000], [0.0000, 0.0000, 0.0000], [0.1131, 0.1131, 0.1131]], "raw_formation_energy_ev_per_atom": 1.05, "sg": "No. 166"}

---

{"formula": "In2SbMo2", "functional": "GGA-PBE", "state": "relaxed", "lattice": [[-3.5392, 2.1600, 5.4839], [-3.9272, -5.6341, -0.3154], [2.8371, -2.1270, 2.6688]], "species": ["Mo", "In", "In", "Sb", "Mo", "Mo", "Mo", "Sb", "In", "In"], "fractional_positions": [[0.3728, 0.8728, 0.0000], [0.8348, 0.3348, 0.5000], [0.1652, 0.6652, 0.5000], [0.0000, 0.0000, 0.0000], [0.8728, 0.6272, 0.0000], [0.1272, 0.3728, 0.0000], [0.6272, 0.1272, 0.0000], [0.5000, 0.5000, 0.0000], [0.6652, 0.8348, 0.5000], [0.3348, 0.1652, 0.5000]], "raw_formation_energy_ev_per_atom": 0.30, "sg": "No. 127"}